Here is a relaxed structure of CuNiP2 from Alexandria via LeMat-Bulk. Energies are from PBE-GGA.

a = 4.174 Å, b = 4.174 Å, c = 4.174 Å
α = 60.00°, β = 60.00°, γ = 60.00°
Positions (direct):
Cu: 0.000 0.000 0.000
Ni: 0.500 0.500 0.500
P: 0.250 0.250 0.250
P: 0.750 0.750 0.750

Properties
- ΔE_f: 0.180 eV per atom


Here is a relaxed structure of CuNiP2 from Alexandria via LeMat-Bulk. Energies are from PBE-GGA.

a = 3.781 Å, b = 3.781 Å, c = 5.039 Å
α = 103.35°, β = 103.35°, γ = 48.85°
Positions (direct):
Cu: 0.000 0.000 0.000
Ni: 0.500 0.500 0.500
P: 0.243 0.243 0.718
P: 0.757 0.757 0.282

Properties
- ΔE_f: -0.006 eV per atom


Here is a relaxed structure of Cu2NiP from Alexandria via LeMat-Bulk. Energies are from PBE-GGA.

a = 2.565 Å, b = 2.565 Å, c = 7.441 Å
α = 90.00°, β = 90.00°, γ = 90.00°
Positions (direct):
Cu: 0.000 0.000 0.238
Cu: 0.000 0.000 0.762
Ni: 0.500 0.500 0.000
P: 0.500 0.500 0.500

Properties
- ΔE_f: 0.181 eV per atom


Number 1: density of states at the Fermi level 1.33 states/eV/f.u.. Number 2: density of states at the Fermi level 1.49 states/eV/f.u.. Number 3: density of states at the Fermi level 2.60 states/eV/f.u..